(1)
Material: SrLa2Al
Method: DFT, PBE
State: optimized geometry

Cell: 5.010 5.130 5.130 Å, 90.00 90.00 90.00°
Fractional coordinates of all 4 atoms:
Sr 0.500 0.500 0.000
La 0.000 0.500 0.500
La 0.000 0.000 0.000
Al 0.500 0.000 0.500

Calculated values
**Formation energy**: -2.1 kJ per mole of atoms
**Total magnetization**: 0.00 μB per formula unit
**Crystal system**: tetragonal

=====

(2)
Material: SrLaAl2
Method: DFT, PBE
State: optimized geometry

Cell: 3.672 4.932 6.664 Å, 90.00 90.00 90.00°
Fractional coordinates of all 4 atoms:
La 0.000 0.000 0.441
Al 0.000 0.000 0.983
Al 0.500 0.500 0.278
Sr 0.500 0.500 0.798

Calculated values
**Formation energy**: 8.1 kJ per mole of atoms
**Total magnetization**: 0.00 μB per formula unit
**Crystal system**: orthorhombic

=====

(3)
Material: SrLa2Al
Method: DFT, PBE
State: optimized geometry

Cell: 6.151 6.936 3.625 Å, 77.18 84.90 114.84°
Fractional coordinates of all 4 atoms:
Sr 0.000 0.500 0.500
La 0.000 0.000 0.000
La 0.500 0.000 0.500
Al 0.500 0.500 0.000

Calculated values
**Formation energy**: 10.1 kJ per mole of atoms
**Total magnetization**: 0.00 μB per formula unit
**Crystal system**: monoclinic

=====

(4)
Material: SrLaAl3
Method: DFT, PBE
State: optimized geometry

Cell: 5.658 5.658 5.658 Å, 90.00 90.00 90.00°
Fractional coordinates of all 5 atoms:
La 0.000 0.000 0.000
Al 0.000 0.500 0.000
Al 0.000 0.000 0.500
Al 0.500 0.000 0.000
Sr 0.500 0.500 0.500

Calculated values
**Formation energy**: 59.2 kJ per mole of atoms
**Total magnetization**: 0.00 μB per formula unit
**Crystal system**: cubic

=====

(5)
Material: SrLaAl2
Method: DFT, PBE
State: optimized geometry

Cell: 5.365 5.365 7.018 Å, 76.95 76.95 42.32°
Fractional coordinates of all 4 atoms:
Sr 0.250 0.250 0.250
La 0.750 0.750 0.750
Al 0.000 0.000 0.935
Al 0.500 0.500 0.565

Calculated values
**Formation energy**: 2.0 kJ per mole of atoms
**Total magnetization**: 0.00 μB per formula unit
**Crystal system**: monoclinic

=====

(6)
Material: Sr3LaAl
Method: DFT, PBE
State: optimized geometry

Cell: 6.164 6.164 6.164 Å, 90.00 90.00 90.00°
Fractional coordinates of all 5 atoms:
Sr 0.500 0.000 0.000
Sr 0.000 0.000 0.500
Sr 0.000 0.500 0.000
La 0.000 0.000 0.000
Al 0.500 0.500 0.500

Calculated values
**Formation energy**: 92.7 kJ per mole of atoms
**Total magnetization**: 0.00 μB per formula unit
**Crystal system**: cubic

=====

(7)
Material: Sr3LaAl
Method: DFT, PBE
State: optimized geometry

Cell: 6.136 6.136 6.136 Å, 90.00 90.00 90.00°
Fractional coordinates of all 5 atoms:
Sr 0.500 0.000 0.000
Sr 0.000 0.500 0.000
Sr 0.000 0.000 0.500
La 0.500 0.500 0.500
Al 0.000 0.000 0.000

Calculated values
**Formation energy**: 30.4 kJ per mole of atoms
**Total magnetization**: 0.00 μB per formula unit
**Crystal system**: cubic

=====

(8)
Material: SrLaAl2Tc
Method: DFT, PBE
State: optimized geometry

Cell: 5.073 5.073 5.208 Å, 90.00 90.00 90.00°
Fractional coordinates of all 5 atoms:
Sr 0.500 0.500 0.500
La 0.000 0.000 0.500
Al 0.000 0.500 0.000
Al 0.500 0.000 0.000
Tc 0.000 0.000 0.000

Calculated values
**Formation energy**: -12.3 kJ per mole of atoms
**Total magnetization**: 0.00 μB per formula unit
**Crystal system**: tetragonal

=====

(9)
Material: SrLa2AlTl
Method: DFT, PBE
State: optimized geometry

Cell: 6.035 6.118 6.035 Å, 90.00 90.00 90.00°
Last column: magnetic moment on the atom in μB.
Fractional coordinates of all 5 atoms:
La 0.000 0.000 0.500  0.08
La 0.500 0.000 0.000  0.12
Tl 0.000 0.000 0.000  0.03
Al 0.500 0.500 0.500  0.07
Sr 0.000 0.500 0.000  0.04

Calculated values
**Formation energy**: 38.0 kJ per mole of atoms
**Total magnetization**: 1.46 μB per formula unit
**Crystal system**: tetragonal

=====

(10)
Material: LaTa2Al
Method: DFT, PBE
State: optimized geometry

Cell: 3.126 3.744 7.542 Å, 90.00 90.00 90.00°
Fractional coordinates of all 4 atoms:
La 0.500 0.500 0.750
Ta 0.500 0.500 0.250
Ta 0.000 0.000 0.056
Al 0.000 0.000 0.444

Calculated values
**Formation energy**: 8.9 kJ per mole of atoms
**Total magnetization**: 0.00 μB per formula unit
**Crystal system**: orthorhombic

=====

(11)
Material: LaTa2Al
Method: DFT, PBE
State: optimized geometry

Cell: 3.180 3.840 7.081 Å, 90.00 90.00 90.00°
Fractional coordinates of all 4 atoms:
La 0.500 0.500 0.750
Ta 0.000 0.000 0.435
Ta 0.000 0.000 0.065
Al 0.500 0.500 0.250

Calculated values
**Formation energy**: 23.3 kJ per mole of atoms
**Total magnetization**: 0.00 μB per formula unit
**Crystal system**: orthorhombic

=====

(12)
Material: LaTaAl2
Method: DFT, PBE
State: optimized geometry

Cell: 3.096 5.321 6.487 Å, 52.77 90.00 90.00°
Fractional coordinates of all 4 atoms:
Al 0.500 0.500 0.000
Al 0.000 0.000 0.000
La 0.500 0.500 0.500
Ta 0.000 0.000 0.500

Calculated values
**Formation energy**: 25.2 kJ per mole of atoms
**Total magnetization**: 0.00 μB per formula unit
**Crystal system**: monoclinic

=====

(13)
Material: La3TaAl
Method: DFT, PBE
State: optimized geometry

Cell: 5.573 5.573 5.573 Å, 90.00 90.00 90.00°
Fractional coordinates of all 5 atoms:
La 0.000 0.000 0.500
La 0.500 0.000 0.000
La 0.000 0.500 0.000
Al 0.500 0.500 0.500
Ta 0.000 0.000 0.000

Calculated values
**Formation energy**: 51.1 kJ per mole of atoms
**Total magnetization**: 0.00 μB per formula unit
**Crystal system**: cubic

=====

(14)
Material: LaTaAl2
Method: DFT, PBE
State: optimized geometry

Cell: 5.212 5.212 5.212 Å, 129.23 129.15 74.71°
Fractional coordinates of all 4 atoms:
Al 0.500 0.500 0.000
Al 0.000 0.000 0.000
Ta 0.250 0.750 0.500
La 0.750 0.250 0.500

Calculated values
**Formation energy**: 0.7 kJ per mole of atoms
**Total magnetization**: 0.00 μB per formula unit
**Crystal system**: tetragonal

=====

(15)
Material: La2TaAl
Method: DFT, PBE
State: optimized geometry

Cell: 5.846 5.846 5.580 Å, 82.02 82.02 31.52°
Fractional coordinates of all 4 atoms:
Al 0.750 0.750 0.750
Ta 0.250 0.250 0.250
La 0.490 0.490 0.515
La 0.010 0.010 0.985

Calculated values
**Formation energy**: 38.9 kJ per mole of atoms
**Total magnetization**: 0.00 μB per formula unit
**Crystal system**: monoclinic

=====

(16)
Material: LaTa2Al
Method: DFT, PBE
State: optimized geometry

Cell: 4.878 2.968 6.168 Å, 81.06 90.00 90.00°
Fractional coordinates of all 4 atoms:
La 0.500 0.750 0.750
Ta 0.000 0.049 0.062
Ta 0.000 0.451 0.438
Al 0.500 0.250 0.250

Calculated values
**Formation energy**: 32.6 kJ per mole of atoms
**Total magnetization**: 0.00 μB per formula unit
**Crystal system**: monoclinic

=====

(17)
Material: LaTaAl2
Method: DFT, PBE
State: optimized geometry

Cell: 5.369 5.369 2.881 Å, 90.00 90.00 90.00°
Fractional coordinates of all 4 atoms:
Ta 0.000 0.500 0.500
La 0.500 0.000 0.500
Al 0.500 0.500 0.000
Al 0.000 0.000 0.000

Calculated values
**Formation energy**: 10.6 kJ per mole of atoms
**Total magnetization**: 0.00 μB per formula unit
**Crystal system**: tetragonal

=====

(18)
Material: La2TaAl
Method: DFT, PBE
State: optimized geometry

Cell: 4.960 3.395 6.535 Å, 74.83 90.00 90.00°
Fractional coordinates of all 4 atoms:
Al 0.500 0.567 0.739
Ta 0.000 0.683 0.512
La 0.000 0.966 0.939
La 0.500 0.284 0.310

Calculated values
**Formation energy**: 13.8 kJ per mole of atoms
**Total magnetization**: 0.00 μB per formula unit
**Crystal system**: monoclinic

=====

(19)
Material: LaTaAl2
Method: DFT, PBE
State: optimized geometry

Cell: 4.990 4.990 6.196 Å, 83.27 83.27 35.20°
Fractional coordinates of all 4 atoms:
La 0.750 0.750 0.750
Al 0.510 0.510 0.432
Al 0.990 0.990 0.068
Ta 0.250 0.250 0.250

Calculated values
**Formation energy**: 2.0 kJ per mole of atoms
**Total magnetization**: 0.00 μB per formula unit
**Crystal system**: monoclinic

=====

(20)
Material: LaTa2Al
Method: DFT, PBE
State: optimized geometry

Cell: 4.912 4.912 6.468 Å, 84.99 84.99 35.56°
Fractional coordinates of all 4 atoms:
Ta 0.017 0.017 0.928
Ta 0.757 0.757 0.752
Al 0.490 0.490 0.565
La 0.236 0.236 0.256

Calculated values
**Formation energy**: 24.9 kJ per mole of atoms
**Total magnetization**: 0.00 μB per formula unit
**Crystal system**: monoclinic

=====

(21)
Material: LaTaAl2
Method: DFT, PBE
State: optimized geometry

Cell: 5.302 5.302 3.085 Å, 89.93 89.93 107.40°
Fractional coordinates of all 4 atoms:
Al 0.500 0.500 0.000
Al 0.000 0.000 0.000
Ta 0.000 0.500 0.500
La 0.500 0.000 0.500

Calculated values
**Formation energy**: 8.0 kJ per mole of atoms
**Total magnetization**: 0.00 μB per formula unit
**Crystal system**: monoclinic

=====

(22)
Material: La2TaAl
Method: DFT, PBE
State: optimized geometry

Cell: 3.227 3.227 9.845 Å, 90.00 90.00 90.00°
Fractional coordinates of all 4 atoms:
Al 0.500 0.500 0.750
Ta 0.500 0.500 0.250
La 0.000 0.000 0.500
La 0.000 0.000 0.000

Calculated values
**Formation energy**: 19.9 kJ per mole of atoms
**Total magnetization**: 0.00 μB per formula unit
**Crystal system**: tetragonal

=====

(23)
Material: LaTa2Al
Method: DFT, PBE
State: optimized geometry

Cell: 5.647 5.647 2.870 Å, 90.00 90.00 113.79°
Fractional coordinates of all 4 atoms:
Al 0.500 0.000 0.500
La 0.000 0.500 0.500
Ta 0.500 0.500 0.000
Ta 0.000 0.000 0.000

Calculated values
**Formation energy**: 48.8 kJ per mole of atoms
**Total magnetization**: 0.00 μB per formula unit
**Crystal system**: orthorhombic

=====

(24)
Material: LaTa3Al
Method: DFT, PBE
State: optimized geometry

Cell: 4.930 4.930 4.930 Å, 90.00 90.00 90.00°
Fractional coordinates of all 5 atoms:
Ta 0.500 0.000 0.000
Ta 0.000 0.000 0.500
Ta 0.000 0.500 0.000
La 0.000 0.000 0.000
Al 0.500 0.500 0.500

Calculated values
**Formation energy**: 214.2 kJ per mole of atoms
**Total magnetization**: 0.00 μB per formula unit
**Crystal system**: cubic

=====

(25)
Material: LaTaAl2
Method: DFT, PBE
State: optimized geometry

Cell: 3.551 3.551 6.825 Å, 90.00 90.00 90.00°
Fractional coordinates of all 4 atoms:
Ta 0.500 0.500 0.750
La 0.500 0.500 0.250
Al 0.000 0.000 0.562
Al 0.000 0.000 0.938

Calculated values
**Formation energy**: -11.1 kJ per mole of atoms
**Total magnetization**: 0.00 μB per formula unit
**Crystal system**: tetragonal

=====

(26)
Material: La2TaAl
Method: DFT, PBE
State: optimized geometry

Cell: 10.605 10.605 10.605 Å, 18.18 18.18 18.18°
Fractional coordinates of all 4 atoms:
La 0.990 0.990 0.990
La 0.760 0.760 0.760
Ta 0.509 0.509 0.509
Al 0.241 0.241 0.241

Calculated values
**Formation energy**: 28.8 kJ per mole of atoms
**Total magnetization**: 0.00 μB per formula unit
**Crystal system**: trigonal

=====

(27)
Material: La4TaAl
Method: DFT, PBE
State: optimized geometry

Cell: 6.332 6.332 6.332 Å, 60.00 60.00 60.00°
Last column: magnetic moment on the atom in μB.
Fractional coordinates of all 6 atoms:
La 0.873 0.376 0.376  0.05
La 0.376 0.376 0.873  0.05
La 0.376 0.376 0.376  0.05
La 0.376 0.873 0.376  0.05
Al 0.000 0.000 0.000  0.00
Ta 0.750 0.750 0.750  -0.93

Calculated values
**Formation energy**: 72.1 kJ per mole of atoms
**Total magnetization**: 1.21 μB per formula unit
**Crystal system**: cubic

=====

(28)
Material: LaTa2Al
Method: DFT, PBE
State: optimized geometry

Cell: 4.229 4.433 4.433 Å, 90.00 90.00 90.00°
Fractional coordinates of all 4 atoms:
Ta 0.000 0.500 0.500
Ta 0.000 0.000 0.000
La 0.500 0.000 0.500
Al 0.500 0.500 0.000

Calculated values
**Formation energy**: 38.7 kJ per mole of atoms
**Total magnetization**: 0.00 μB per formula unit
**Crystal system**: tetragonal

=====

(29)
Material: La2TaAl2
Method: DFT, PBE
State: optimized geometry

Cell: 7.361 7.361 4.739 Å, 90.00 90.00 90.00°
Last column: magnetic moment on the atom in μB.
Fractional coordinates of all 10 atoms:
Al 0.635 0.135 0.000  0.00
Al 0.135 0.365 0.000  0.00
Al 0.365 0.865 0.000  0.00
Al 0.865 0.635 0.000  0.00
La 0.171 0.671 0.500  0.04
La 0.671 0.829 0.500  0.04
La 0.329 0.171 0.500  0.04
La 0.829 0.329 0.500  0.04
Ta 0.000 0.000 0.000  0.49
Ta 0.500 0.500 0.000  0.49

Calculated values
**Formation energy**: 6.2 kJ per mole of atoms
**Total magnetization**: 0.94 μB per formula unit
**Crystal system**: tetragonal

=====

(30)
Material: LaTa2Al
Method: DFT, PBE
State: optimized geometry

Cell: 3.005 3.005 10.013 Å, 90.00 90.00 111.05°
Fractional coordinates of all 4 atoms:
Ta 0.500 0.500 0.250
Ta 0.000 0.000 0.035
Al 0.000 0.000 0.468
La 0.500 0.500 0.747

Calculated values
**Formation energy**: 15.4 kJ per mole of atoms
**Total magnetization**: 0.00 μB per formula unit
**Crystal system**: orthorhombic